No. 1
Entry from the Alexandria database: a geometry-optimized Nd2ThPd structure (GGA-PBE).

a b c (Å): 3.6556 3.6556 8.4822
angles (deg): 90.00 90.00 90.00
Space group P4/mmm (No. 123)
Inequivalent atoms, fractional coordinates:
Nd: 0.0000 0.0000 0.2094 (multiplicity 2)
Th: 0.5000 0.5000 0.5000 (multiplicity 1)
Pd: 0.5000 0.5000 0.0000 (multiplicity 1)

Values from the calculation:
Energy above the lowest structure with this stoichiometry, eV per formula unit: 0.000
ΔH_f (0 K), meV per atom: -325
Electronic total energy, Ry per atom: -0.431



No. 2
Entry from the Alexandria database: a geometry-optimized NaCdPdRh2 structure (GGA-PBE).

a b c (Å): 4.8395 4.8395 4.8968
angles (deg): 90.00 90.00 90.00
Space group P4/mmm (No. 123)
Inequivalent atoms, fractional coordinates:
Na: 0.0000 0.0000 0.0000 (multiplicity 1)
Cd: 0.5000 0.5000 0.0000 (multiplicity 1)
Pd: 0.0000 0.0000 0.5000 (multiplicity 1)
Rh: 0.0000 0.5000 0.5000 (multiplicity 2)

Values from the calculation:
ΔH_f (0 K), meV per atom: 896
Electronic total energy, Ry per atom: -0.259



No. 3
Entry from the Alexandria database: a geometry-optimized LiNbTeN2 structure (GGA-PBE).

a b c (Å): 3.9134 3.9134 4.6001
angles (deg): 90.00 90.00 90.00
Space group P4/mmm (No. 123)
Inequivalent atoms, fractional coordinates:
Li: 0.0000 0.0000 0.0000 (multiplicity 1)
Nb: 0.5000 0.5000 0.5000 (multiplicity 1)
Te: 0.0000 0.0000 0.5000 (multiplicity 1)
N: 0.0000 0.5000 0.0000 (multiplicity 2)

Values from the calculation:
Formation energy (no corrections), eV per atom: 1.530
Energy above the lowest structure with this stoichiometry, eV per formula unit: 7.219
Electronic total energy, Ry per atom: -0.355



Which value of electronic total energy does entry 1 give?
-0.431 Ry per atom



Which value of electronic total energy does entry 2 give?
-0.259 Ry per atom



What is the formula in the third record?
LiNbTeN2